--- A ---
The following is a DFT calculation (GGA-PBE) of a relaxed TaAuN2 crystal.

a = 3.1647 Å, b = 3.1647 Å, c = 18.8860 Å
α = 90.00°, β = 90.00°, γ = 120.00°
Space group R-3m (No. 166, hexagonal axes)
Asymmetric unit:
Ta: 0.0000 0.0000 0.0000 x3
Au: 0.0000 0.0000 0.5000 x3
N: 0.0000 0.0000 0.3896 x6

- theoretical density (g/cm³) = 12.34
- volume (A^3/atom) = 13.7

***

--- B ---
The following is a DFT calculation (GGA-PBE) of a relaxed TaAuN2 crystal.

a = 5.0524 Å, b = 5.0524 Å, c = 9.5269 Å
α = 90.00°, β = 90.00°, γ = 90.00°
Space group I-42d (No. 122)
Asymmetric unit:
Ta: 0.0000 0.0000 0.0000 x4
Au: 0.0000 0.0000 0.5000 x4
N: 0.1803 0.2500 0.1250 x8

- theoretical density (g/cm³) = 11.09
- volume (A^3/atom) = 15.2

***

--- C ---
The following is a DFT calculation (GGA-PBE) of a relaxed TaAuN2 crystal.

a = 5.6637 Å, b = 5.6637 Å, c = 5.6637 Å
α = 90.00°, β = 90.00°, γ = 90.00°
Space group Fm-3m (No. 225)
Asymmetric unit:
Ta: 0.0000 0.0000 0.0000 x4
Au: 0.0000 0.0000 0.5000 x4
N: 0.2500 0.2500 0.2500 x8

- theoretical density (g/cm³) = 14.84
- volume (A^3/atom) = 11.4

***

Pick A: it beats the second-best structure by 237 meV per atom.

***

--- A ---
The following is a DFT calculation (GGA-PBE) of a relaxed TaTeAuN2 crystal.

a = 4.0579 Å, b = 4.0579 Å, c = 5.4794 Å
α = 90.00°, β = 90.00°, γ = 90.00°
Space group P4/mmm (No. 123)
Asymmetric unit:
Ta: 0.0000 0.0000 0.0000 x1
Te: 0.5000 0.5000 0.0000 x1
Au: 0.5000 0.5000 0.5000 x1
N: 0.0000 0.5000 0.5000 x2

- theoretical density (g/cm³) = 9.82
- volume (A^3/atom) = 18.0

***

--- B ---
The following is a DFT calculation (GGA-PBE) of a relaxed TaTeAuN2 crystal.

a = 3.9963 Å, b = 3.9963 Å, c = 6.0719 Å
α = 90.00°, β = 90.00°, γ = 90.00°
Space group P4/mmm (No. 123)
Asymmetric unit:
Ta: 0.0000 0.0000 0.0000 x1
Te: 0.0000 0.0000 0.5000 x1
Au: 0.5000 0.5000 0.5000 x1
N: 0.0000 0.5000 0.0000 x2

- theoretical density (g/cm³) = 9.14
- volume (A^3/atom) = 19.4

***

Pick B: it beats the second-best structure by 1820 meV per atom.

***

--- A ---
The following is a DFT calculation (GGA-PBE) of a relaxed TcAu3N crystal.

a = 4.3756 Å, b = 4.3756 Å, c = 4.3756 Å
α = 90.00°, β = 90.00°, γ = 90.00°
Space group Pm-3m (No. 221)
Asymmetric unit:
Tc: 0.0000 0.0000 0.0000 x1
Au: 0.0000 0.5000 0.5000 x3
N: 0.5000 0.5000 0.5000 x1

- theoretical density (g/cm³) = 13.93
- volume (A^3/atom) = 16.8

***

--- B ---
The following is a DFT calculation (GGA-PBE) of a relaxed TcAu3N crystal.

a = 5.1080 Å, b = 5.1080 Å, c = 5.1080 Å
α = 90.00°, β = 90.00°, γ = 90.00°
Space group Pm-3m (No. 221)
Asymmetric unit:
Tc: 0.0000 0.0000 0.0000 x1
Au: 0.0000 0.0000 0.5000 x3
N: 0.5000 0.5000 0.5000 x1

- theoretical density (g/cm³) = 8.76
- volume (A^3/atom) = 26.7

***

Pick A: it beats the second-best structure by 978 meV per atom.

***

--- A ---
The following is a DFT calculation (GGA-PBE) of a relaxed TcAuN2 crystal.

a = 2.9032 Å, b = 2.9032 Å, c = 19.8097 Å
α = 90.00°, β = 90.00°, γ = 120.00°
Space group R-3m (No. 166, hexagonal axes)
Asymmetric unit:
Tc: 0.0000 0.0000 0.0000 x3
Au: 0.0000 0.0000 0.5000 x3
N: 0.0000 0.0000 0.3953 x6

- theoretical density (g/cm³) = 11.13
- volume (A^3/atom) = 12.0

***

--- B ---
The following is a DFT calculation (GGA-PBE) of a relaxed TcAuN2 crystal.

a = 4.9669 Å, b = 4.9669 Å, c = 9.1371 Å
α = 90.00°, β = 90.00°, γ = 90.00°
Space group I-42d (No. 122)
Asymmetric unit:
Tc: 0.0000 0.0000 0.0000 x4
Au: 0.0000 0.0000 0.5000 x4
N: 0.1788 0.2500 0.1250 x8

- theoretical density (g/cm³) = 9.52
- volume (A^3/atom) = 14.1

***

Pick A: it beats the second-best structure by 192 meV per atom.

***

--- A ---
The following is a DFT calculation (GGA-PBE) of a relaxed TeAu3N crystal.

a = 5.3370 Å, b = 5.3370 Å, c = 5.3370 Å
α = 90.00°, β = 90.00°, γ = 90.00°
Space group Pm-3m (No. 221)
Asymmetric unit:
Te: 0.0000 0.0000 0.0000 x1
Au: 0.0000 0.0000 0.5000 x3
N: 0.5000 0.5000 0.5000 x1

- theoretical density (g/cm³) = 8.00
- volume (A^3/atom) = 30.4

***

--- B ---
The following is a DFT calculation (GGA-PBE) of a relaxed TeAu3N crystal.

a = 4.5385 Å, b = 4.5385 Å, c = 4.5385 Å
α = 90.00°, β = 90.00°, γ = 90.00°
Space group Pm-3m (No. 221)
Asymmetric unit:
Te: 0.0000 0.0000 0.0000 x1
Au: 0.0000 0.5000 0.5000 x3
N: 0.5000 0.5000 0.5000 x1

- theoretical density (g/cm³) = 13.01
- volume (A^3/atom) = 18.7

***

Pick B: it beats the second-best structure by 574 meV per atom.

***

--- A ---
The following is a DFT calculation (GGA-PBE) of a relaxed Te2AuN2 crystal.

a = 4.1663 Å, b = 4.1663 Å, c = 7.1174 Å
α = 90.00°, β = 90.00°, γ = 90.00°
Space group P4/mmm (No. 123)
Asymmetric unit:
Te: 0.0000 0.0000 0.0000 x1
Te: 0.5000 0.5000 0.0000 x1
Au: 0.0000 0.0000 0.5000 x1
N: 0.0000 0.5000 0.5000 x2

- theoretical density (g/cm³) = 6.45
- volume (A^3/atom) = 24.7

***

--- B ---
The following is a DFT calculation (GGA-PBE) of a relaxed Te2AuN2 crystal.

a = 5.8111 Å, b = 5.8111 Å, c = 3.7220 Å
α = 90.00°, β = 90.00°, γ = 90.00°
Space group P4/mmm (No. 123)
Asymmetric unit:
Te: 0.0000 0.5000 0.0000 x2
Au: 0.0000 0.0000 0.0000 x1
N: 0.0000 0.0000 0.5000 x1
N: 0.5000 0.5000 0.5000 x1

- theoretical density (g/cm³) = 6.34
- volume (A^3/atom) = 25.1

***

--- C ---
The following is a DFT calculation (GGA-PBE) of a relaxed Te2AuN2 crystal.

a = 3.9738 Å, b = 3.9738 Å, c = 6.6322 Å
α = 90.00°, β = 90.00°, γ = 90.00°
Space group P4/mmm (No. 123)
Asymmetric unit:
Te: 0.0000 0.0000 0.0000 x1
Te: 0.0000 0.0000 0.5000 x1
Au: 0.5000 0.5000 0.0000 x1
N: 0.0000 0.5000 0.5000 x2

- theoretical density (g/cm³) = 7.61
- volume (A^3/atom) = 20.9

***

--- D ---
The following is a DFT calculation (GGA-PBE) of a relaxed Te2AuN2 crystal.

a = 6.3100 Å, b = 5.5851 Å, c = 9.6832 Å
α = 90.00°, β = 90.45°, γ = 90.00°
Space group C2/m (No. 12)
Asymmetric unit:
Te: 0.1178 0.0000 0.3796 x4
Au: 0.0000 0.5000 0.5000 x2
N: 0.0682 0.5000 0.9638 x4

- theoretical density (g/cm³) = 4.67
- volume (A^3/atom) = 34.1

***

Pick D: it beats the second-best structure by 1220 meV per atom.